First-principles (PBE-GGA) data for an optimized crystal structure of BaMg2Al, as listed in Alexandria via LeMat-Bulk.

SG ... Pm, No. 6
DOS(E_F) ... 3.0 states/eV/f.u.
Energy ... -8.834 eV per cell

Unit cell a=4.851 b=3.520 c=7.199 alpha=75.82 beta=90.00 gamma=90.00
Element x y z (fractional)
Al (0.000, 0.334, 0.456)
Ba (0.500, 0.705, 0.713)
Mg (0.000, 0.015, 0.094)
Mg (0.500, 0.446, 0.237)